[1]
! TeRhSe2N, relaxed, DFT GGA-PBE; values from VASP
&SYSTEM
  ibrav = 0, nat = 5, ntyp = 4
/
ATOMIC_SPECIES
Te 127.60 Te.upf
Se 78.96 Se.upf
Rh 102.91 Rh.upf
N 14.01 N.upf
CELL_PARAMETERS angstrom
-0.8128 0.1163 5.1130
0.0812 -5.1762 0.1307
3.6464 0.0718 0.5781
ATOMIC_POSITIONS crystal
Te 0.5000 0.5000 0.5000
Se 0.0000 0.5000 0.0000
Se 0.5000 0.0000 0.0000
Rh 0.0000 0.0000 0.0000
N 0.0000 0.0000 0.5000
! Formation energy without anion corrections   0.4235 eV/atom
! Size of the total moment   0.00 μB per atom
! Calculated volume   19.805 Å³/atom
! ρ   6.748 Mg/m³

=====

[2]
! LaNd6Dy2Th, relaxed, DFT GGA-PBE; values from VASP
&SYSTEM
  ibrav = 0, nat = 20, ntyp = 4
/
ATOMIC_SPECIES
Nd 144.24 Nd.upf
Th 232.04 Th.upf
Dy 162.50 Dy.upf
La 138.91 La.upf
CELL_PARAMETERS angstrom
9.2613 -1.9415 -2.0149
0.9013 8.7323 -1.9676
0.9013 -2.2898 8.6534
ATOMIC_POSITIONS crystal
Nd 0.6887 0.0097 0.5669
Nd 0.3113 0.9903 0.4331
Nd 0.8843 0.2946 0.5138
Nd 0.3843 0.5138 0.2946
Nd 0.8113 0.4331 0.9903
Nd 0.0605 0.1181 0.7584
Nd 0.5605 0.7584 0.1181
Nd 0.9395 0.8819 0.2416
Nd 0.1887 0.5669 0.0097
Nd 0.4395 0.2416 0.8819
Nd 0.6157 0.4862 0.7054
Nd 0.1157 0.7054 0.4862
Th 0.7500 0.5898 0.4102
Th 0.2500 0.4102 0.5898
Dy 0.4495 0.8005 0.6990
Dy 0.0505 0.3010 0.1995
Dy 0.5505 0.1995 0.3010
Dy 0.9495 0.6990 0.8005
La 0.7500 0.0313 0.9687
La 0.2500 0.9687 0.0313
! Calculated formation energy   142 meV per atom
! Size of the total moment   0.00 μB per atom
! Calculated volume   34.835 Å³/atom
! ρ   7.443 Mg/m³

=====

[3]
! BeSiW, relaxed, DFT GGA-PBE; values from VASP
&SYSTEM
  ibrav = 0, nat = 3, ntyp = 3
/
ATOMIC_SPECIES
W 183.84 W.upf
Be 9.01 Be.upf
Si 28.09 Si.upf
CELL_PARAMETERS angstrom
-0.3207 1.1168 -2.5184
-2.0595 0.1417 1.8523
2.1968 5.2360 2.0421
ATOMIC_POSITIONS crystal
W 0.3333 0.6667 0.6744
Be 0.0000 0.0000 0.0099
Si 0.6667 0.3333 0.3157
! Formation energy without anion corrections   0.3211 eV/atom
! Size of the total moment   0.00 μB per atom
! Calculated volume   13.400 Å³/atom
! ρ   9.126 Mg/m³

=====

[4]
! CrCuPd3, relaxed, DFT GGA-PBE; values from VASP
&SYSTEM
  ibrav = 0, nat = 5, ntyp = 3
/
ATOMIC_SPECIES
Pd 106.42 Pd.upf
Cr 52.00 Cr.upf
Cu 63.55 Cu.upf
CELL_PARAMETERS angstrom
4.5702 0.0000 0.0000
0.0000 4.5702 0.0000
0.0000 0.0000 4.5702
ATOMIC_POSITIONS crystal
Pd 0.0000 0.5000 0.0000
Pd 0.5000 0.0000 0.0000
Pd 0.0000 0.0000 0.5000
Cr 0.5000 0.5000 0.5000
Cu 0.0000 0.0000 0.0000
! Calculated formation energy   801 meV per atom
! Size of the total moment   0.81 μB per atom
! Calculated volume   19.092 Å³/atom
! ρ   7.564 Mg/m³

=====

[5]
! BaNa3Sn3, relaxed, DFT GGA-PBE; values from VASP
&SYSTEM
  ibrav = 0, nat = 14, ntyp = 3
/
ATOMIC_SPECIES
Na 22.99 Na.upf
Sn 118.71 Sn.upf
Ba 137.33 Ba.upf
CELL_PARAMETERS angstrom
-5.1284 4.1459 9.3797
-3.9207 2.8213 -10.3988
-2.7862 -3.6083 0.0715
ATOMIC_POSITIONS crystal
Na 0.6833 0.7709 0.2500
Na 0.3167 0.2291 0.7500
Na 0.2291 0.9125 0.2500
Na 0.0875 0.3167 0.2500
Na 0.7709 0.0875 0.7500
Na 0.9125 0.6833 0.7500
Sn 0.9420 0.4095 0.7500
Sn 0.4095 0.4675 0.2500
Sn 0.5325 0.9420 0.2500
Sn 0.0580 0.5905 0.2500
Sn 0.5905 0.5325 0.7500
Sn 0.4675 0.0580 0.7500
Ba 0.6667 0.3333 0.2500
Ba 0.3333 0.6667 0.7500
! Calculated formation energy   -328 meV per atom
! Size of the total moment   0.00 μB per atom
! Calculated volume   37.079 Å³/atom
! ρ   3.598 Mg/m³

=====

[6]
! YTcBiO6, relaxed, DFT GGA-PBE; values from VASP
&SYSTEM
  ibrav = 0, nat = 9, ntyp = 4
/
ATOMIC_SPECIES
O 16.00 O.upf
Bi 208.98 Bi.upf
Tc 98.00 Tc.upf
Y 88.91 Y.upf
CELL_PARAMETERS angstrom
-0.9608 5.2038 1.6140
0.7307 1.4340 5.2928
4.6342 1.1509 -0.9513
ATOMIC_POSITIONS crystal
O 0.6224 0.0407 0.2742
O 0.3369 0.6225 0.2742
O 0.3369 0.0407 0.7258
O 0.0407 0.3369 0.2742
O 0.6224 0.3369 0.7258
O 0.0406 0.6225 0.7258
Bi 0.0000 0.9999 0.9999
Tc 0.3333 0.3333 0.5000
Y 0.6666 0.6667 0.5000
! Formation energy without anion corrections   -1.8448 eV/atom
! Size of the total moment   0.11 μB per atom
! Calculated volume   14.339 Å³/atom
! ρ   6.329 Mg/m³

=====

- size of the total moment of number 5 (BaNa3Sn3)?
  0.00 μB per atom